RbNa2LiCd after structural relaxation. Source: the Alexandria database, functional PBE.

a = 5.9141 Å, b = 5.9141 Å, c = 5.4976 Å
α = 90.00°, β = 90.00°, γ = 90.00°
With the nearest neighbours (Å) after each atom.
Space group P4/mmm (No. 123)
Inequivalent atoms, fractional coordinates:
Rb (0.0000, 0.0000, 0.0000) (multiplicity 1)  8 Na 4.04, 4 Cd 4.18
Na (0.0000, 0.5000, 0.5000) (multiplicity 2)  2 Li 2.96
Li (0.5000, 0.5000, 0.5000) (multiplicity 1)  2 Cd 2.75, 4 Na 2.96
Cd (0.5000, 0.5000, 0.0000) (multiplicity 1)  2 Li 2.75

Computed properties:
Formation enthalpy at 0 K: 0.0620 eV/atom
Theoretical density: 2166 kg/m3
Distance to the lowest polymorph of the same formula: 0.7 kJ per mole of atoms
Total energy: -6.1 eV per cell